Entry i
Below is Zn2InPb2 after structural relaxation, with properties calculated at the PBEsol level.

Results
N(E_F) (states/eV/f.u.): 2.1
Total moment (μB per formula unit): 0.0

Lattice parameters (Å, degrees): 3.5907 3.5907 18.6854 90.00 90.00 90.00
Space group I4/mmm (No. 139)
Inequivalent atoms, fractional coordinates:
Zn 0.0000 0.5000 0.2500 x4
In 0.0000 0.0000 0.0000 x2
Pb 0.0000 0.0000 0.3807 x4

=====

Entry ii
Below is Zn2InPb2 after structural relaxation, with properties calculated at the PBEsol level.

Results
N(E_F) (states/eV/f.u.): 1.9
Total moment (μB per formula unit): 0.0

Lattice parameters (Å, degrees): 4.5928 4.5928 11.8625 90.00 90.00 90.00
Space group I4/mmm (No. 139)
Inequivalent atoms, fractional coordinates:
Zn 0.0000 0.0000 0.0994 x4
In 0.0000 0.0000 0.5000 x2
Pb 0.0000 0.5000 0.2500 x4

=====

Entry iii
Below is Zn2InPb2 after structural relaxation, with properties calculated at the PBEsol level.

Results
N(E_F) (states/eV/f.u.): 2.2
Total moment (μB per formula unit): 0.0

Lattice parameters (Å, degrees): 7.1500 7.1500 4.5534 90.00 90.00 90.00
Space group P4/mbm (No. 127)
Inequivalent atoms, fractional coordinates:
Zn 0.1246 0.3754 0.0000 x4
In 0.0000 0.0000 0.0000 x2
Pb 0.1773 0.6773 0.5000 x4

=====

Q: Which of them is the least stable? A: entry ii.

=====

Entry i
Below is Zn2InPb after structural relaxation, with properties calculated at the PBEsol level.

Results
N(E_F) (states/eV/f.u.): 1.6
Total moment (μB per formula unit): 0.0

Lattice parameters (Å, degrees): 3.3673 3.3673 26.7841 90.00 90.00 120.00
Space group R3m (No. 160, hexagonal axes)
Inequivalent atoms, fractional coordinates:
Zn 0.0000 0.0000 0.0000 x3
Zn 0.0000 0.0000 0.2701 x3
In 0.0000 0.0000 0.7471 x3
Pb 0.0000 0.0000 0.5161 x3

=====

Entry ii
Below is Zn2InPb after structural relaxation, with properties calculated at the PBEsol level.

Results
N(E_F) (states/eV/f.u.): 1.8
Total moment (μB per formula unit): 0.0

Lattice parameters (Å, degrees): 3.4017 4.9857 10.1475 90.00 90.00 90.00
Space group Imm2 (No. 44)
Inequivalent atoms, fractional coordinates:
Zn 0.0000 0.0000 0.0000 x2
Zn 0.0000 0.5000 0.3050 x2
In 0.0000 0.5000 0.7562 x2
Pb 0.0000 0.0000 0.5428 x2

=====

Q: Which of them is the least stable? A: entry ii.